# CuSi | the Alexandria database | PBE | relaxed
data_CuSi
_space_group_name_H-M_alt 'P -3 m 1'
_space_group_IT_number 164
_space_group_name_Hall '-P 3 2"'
_cell_length_a 2.6021
_cell_length_b 2.6021
_cell_length_c 9.1324
_cell_angle_alpha 90.00
_cell_angle_beta 90.00
_cell_angle_gamma 120.00
loop_
_atom_site_label
_atom_site_type_symbol
_atom_site_fract_x
_atom_site_fract_y
_atom_site_fract_z
Cu1 Cu 0.3333 0.6667 0.1154
Si1 Si 0.3333 0.6667 0.6559
# N(E_F) (states/eV/f.u.): 0.5
# Energy (eV/atom): -4.547
# Raw formation energy (eV per atom): 0.21
# Total moment (μB per cell): 0.00

# LiBC | the Alexandria database | PBE | relaxed
data_LiBC
_space_group_name_H-M_alt 'P m n 21'
_space_group_IT_number 31
_space_group_name_Hall 'P 2ac -2'
_cell_length_a 3.8043
_cell_length_b 2.8314
_cell_length_c 6.5959
_cell_angle_alpha 90.00
_cell_angle_beta 90.00
_cell_angle_gamma 90.00
loop_
_atom_site_label
_atom_site_type_symbol
_atom_site_fract_x
_atom_site_fract_y
_atom_site_fract_z
Li1 Li 0.0000 0.0010 0.0000
B1 B 0.0000 0.4968 0.3331
C1 C 0.0000 0.9965 0.3332
# N(E_F) (states/eV/f.u.): 0.2
# Energy (eV/atom): -5.976
# Total moment (μB per cell): 0.00
# Formation energy from the elements (kJ per mole of atoms): -4

# Tb2NCl | the Alexandria database | PBE | relaxed
data_Tb2NCl
_space_group_name_H-M_alt 'R 3 m'
_space_group_IT_number 160
_space_group_name_Hall 'R 3 -2"'
_cell_length_a 3.5592
_cell_length_b 3.5592
_cell_length_c 20.5356
_cell_angle_alpha 90.00
_cell_angle_beta 90.00
_cell_angle_gamma 120.00
loop_
_atom_site_label
_atom_site_type_symbol
_atom_site_fract_x
_atom_site_fract_y
_atom_site_fract_z
Tb1 Tb 0.0000 0.0000 0.0000
Tb2 Tb 0.0000 0.0000 0.2085
N1 N 0.0000 0.0000 0.5993
Cl1 Cl 0.0000 0.0000 0.7713
# N(E_F) (states/eV/f.u.): 0.6
# Energy (eV/atom): -6.426
# Raw formation energy (eV per atom): -1.57
# Total moment (μB per cell): 0.00

# PrGaGe2O7 | the Alexandria database | PBE | relaxed
data_PrGaGe2O7
_space_group_name_H-M_alt 'P 1 21/c 1'
_space_group_IT_number 14
_space_group_name_Hall '-P 2ybc'
_cell_length_a 7.3730
_cell_length_b 6.6857
_cell_length_c 13.0827
_cell_angle_alpha 90.00
_cell_angle_beta 117.63
_cell_angle_gamma 90.00
loop_
_atom_site_label
_atom_site_type_symbol
_atom_site_fract_x
_atom_site_fract_y
_atom_site_fract_z
Pr1 Pr 0.2387 0.1467 0.4751
Ga1 Ga 0.2149 0.1002 0.7316
Ge1 Ge 0.2132 0.6587 0.4546
Ge2 Ge 0.2991 0.5886 0.7185
O1 O 0.0084 0.6628 0.9199
O2 O 0.1541 0.6882 0.1851
O3 O 0.2072 0.0501 0.8706
O4 O 0.2208 0.1100 0.2782
O5 O 0.2522 0.5028 0.5755
O6 O 0.4075 0.6744 0.9792
O7 O 0.4331 0.1237 0.6949
# N(E_F) (states/eV/f.u.): 0.0
# Energy (eV/atom): -6.848
# Raw formation energy (eV per atom): -2.14
# Total moment (μB per cell): 0.00

# NaPm3Hg5 | the Alexandria database | PBE | relaxed
data_NaPm3Hg5
_space_group_name_H-M_alt 'P 63/m c m'
_space_group_IT_number 193
_space_group_name_Hall '-P 6c 2'
_cell_length_a 9.2413
_cell_length_b 9.2413
_cell_length_c 6.4675
_cell_angle_alpha 90.00
_cell_angle_beta 90.00
_cell_angle_gamma 120.00
loop_
_atom_site_label
_atom_site_type_symbol
_atom_site_fract_x
_atom_site_fract_y
_atom_site_fract_z
Na1 Na 0.0000 0.0000 0.0000
Pm1 Pm 0.0000 0.3620 0.2500
Hg1 Hg 0.0000 0.3041 0.7500
Hg2 Hg 0.3333 0.6667 0.0000
# N(E_F) (states/eV/f.u.): 7.0
# Energy (eV/atom): -2.293
# Total moment (μB per cell): 0.00
# Formation energy from the elements (kJ per mole of atoms): -38

# MnBeTe2 | the Alexandria database | PBE | relaxed
data_MnBeTe2
_space_group_name_H-M_alt 'R 3 m'
_space_group_IT_number 160
_space_group_name_Hall 'R 3 -2"'
_cell_length_a 3.7926
_cell_length_b 3.7926
_cell_length_c 19.9979
_cell_angle_alpha 90.00
_cell_angle_beta 90.00
_cell_angle_gamma 120.00
loop_
_atom_site_label
_atom_site_type_symbol
_atom_site_fract_x
_atom_site_fract_y
_atom_site_fract_z
Mn1 Mn 0.0000 0.0000 0.0000
Be1 Be 0.0000 0.0000 0.3335
Te1 Te 0.0000 0.0000 0.5862
Te2 Te 0.0000 0.0000 0.7470
# N(E_F) (states/eV/f.u.): 3.8
# Energy (eV/atom): -4.718
# Raw formation energy (eV per atom): 0.08
# Total moment (μB per cell): 0.37

# LiWCl6 | the Alexandria database | PBE | relaxed
data_LiWCl6
_space_group_name_H-M_alt 'R 3'
_space_group_IT_number 146
_space_group_name_Hall 'R 3'
_cell_length_a 12.7782
_cell_length_b 12.7782
_cell_length_c 18.7694
_cell_angle_alpha 90.00
_cell_angle_beta 90.00
_cell_angle_gamma 120.00
loop_
_atom_site_label
_atom_site_type_symbol
_atom_site_fract_x
_atom_site_fract_y
_atom_site_fract_z
Li1 Li 0.0000 0.0000 0.0000
Li2 Li 0.0005 0.5004 0.3333
W1 W 0.0000 0.0000 0.6659
W2 W 0.1692 0.3388 0.9999
Cl1 Cl 0.0063 0.1532 0.7383
Cl2 Cl 0.0070 0.6529 0.7390
Cl3 Cl 0.0074 0.8536 0.5935
Cl4 Cl 0.0086 0.3549 0.5939
Cl5 Cl 0.0108 0.1765 0.0707
Cl6 Cl 0.0107 0.8339 0.9295
Cl7 Cl 0.1642 0.4766 0.0740
Cl8 Cl 0.1660 0.6886 0.9258
# N(E_F) (states/eV/f.u.): 6.4
# Energy (eV/atom): -4.320
# Raw formation energy (eV per atom): -1.08
# Total moment (μB per cell): 12.02
# Energy relative to the lowest polymorph listed for this composition (eV per formula unit): 0.00

# Nd2Ho8Tc | the Alexandria database | PBE | relaxed
data_Nd2Ho8Tc
_space_group_name_H-M_alt 'C 1 2/m 1'
_space_group_IT_number 12
_space_group_name_Hall '-C 2y'
_cell_length_a 18.2109
_cell_length_b 5.4529
_cell_length_c 6.6928
_cell_angle_alpha 90.00
_cell_angle_beta 93.73
_cell_angle_gamma 90.00
loop_
_atom_site_label
_atom_site_type_symbol
_atom_site_fract_x
_atom_site_fract_y
_atom_site_fract_z
Nd1 Nd 0.2251 0.0000 0.1656
Ho1 Ho 0.0316 0.0000 0.2672
Ho2 Ho 0.0809 0.5000 0.8781
Ho3 Ho 0.1416 0.5000 0.3839
Ho4 Ho 0.1612 0.0000 0.6629
Tc1 Tc 0.0000 0.5000 0.5000
# N(E_F) (states/eV/f.u.): 15.7
# Energy (eV/atom): -5.118
# Total moment (μB per cell): 0.00
# Formation energy from the elements (kJ per mole of atoms): 2

# Si2NiIr | the Alexandria database | PBE | relaxed
data_Si2NiIr
_space_group_name_H-M_alt 'R 3 m'
_space_group_IT_number 160
_space_group_name_Hall 'R 3 -2"'
_cell_length_a 3.7653
_cell_length_b 3.7653
_cell_length_c 13.2584
_cell_angle_alpha 90.00
_cell_angle_beta 90.00
_cell_angle_gamma 120.00
loop_
_atom_site_label
_atom_site_type_symbol
_atom_site_fract_x
_atom_site_fract_y
_atom_site_fract_z
Si1 Si 0.0000 0.0000 0.0000
Si2 Si 0.0000 0.0000 0.1900
Ni1 Ni 0.0000 0.0000 0.6100
Ir1 Ir 0.0000 0.0000 0.4146
# N(E_F) (states/eV/f.u.): 1.8
# Energy (eV/atom): -6.720
# Raw formation energy (eV per atom): -0.35
# Total moment (μB per cell): 0.00

# Al3Mo5 | the Alexandria database | PBE | relaxed
data_Al3Mo5
_space_group_name_H-M_alt 'P 63/m c m'
_space_group_IT_number 193
_space_group_name_Hall '-P 6c 2'
_cell_length_a 7.5343
_cell_length_b 7.5343
_cell_length_c 5.0643
_cell_angle_alpha 90.00
_cell_angle_beta 90.00
_cell_angle_gamma 120.00
loop_
_atom_site_label
_atom_site_type_symbol
_atom_site_fract_x
_atom_site_fract_y
_atom_site_fract_z
Al1 Al 0.0000 0.4018 0.2500
Mo1 Mo 0.0000 0.2271 0.7500
Mo2 Mo 0.3333 0.6667 0.0000
# N(E_F) (states/eV/f.u.): 6.7
# Energy (eV/atom): -8.180
# Total moment (μB per cell): 0.00
# Formation energy from the elements (kJ per mole of atoms): -1
# Energy relative to the lowest polymorph listed for this composition (eV per formula unit): 1.27

# LaCuO2 | the Alexandria database | PBE | relaxed
data_LaCuO2
_space_group_name_H-M_alt 'I -4 2 d'
_space_group_IT_number 122
_space_group_name_Hall 'I -4 2bw'
_cell_length_a 4.7158
_cell_length_b 4.7158
_cell_length_c 11.5850
_cell_angle_alpha 90.00
_cell_angle_beta 90.00
_cell_angle_gamma 90.00
loop_
_atom_site_label
_atom_site_type_symbol
_atom_site_fract_x
_atom_site_fract_y
_atom_site_fract_z
La1 La 0.0000 0.0000 0.0000
Cu1 Cu 0.0000 0.0000 0.5000
O1 O 0.2124 0.2500 0.6250
# N(E_F) (states/eV/f.u.): 0.0
# Energy (eV/atom): -6.711
# Raw formation energy (eV per atom): -1.98
# Total moment (μB per cell): 0.00